## LaSiBr (PBE)

Data for a relaxed LaSiBr crystal.

abc: 7.243 4.178 11.989
angles: 90.00 101.61 90.00
Space group C2/m (No. 12)
Inequivalent atoms, fractional coordinates:
La (0.058, 0.000, 0.176) x4
Si (0.165, 0.500, 0.994) x4
Br (0.220, 0.000, 0.660) x4


## LaSiBr (PBE)

Data for a relaxed LaSiBr crystal.

abc: 7.083 7.083 7.083
angles: 90.00 90.00 90.00
Space group F-43m (No. 216)
Inequivalent atoms, fractional coordinates:
La (0.000, 0.000, 0.000) x4
Si (0.250, 0.250, 0.250) x4
Br (0.000, 0.000, 0.500) x4


## LaSiBr2 (PBE)

Data for a relaxed LaSiBr2 crystal.

abc: 3.903 4.458 14.233
angles: 90.00 90.00 90.00
Space group Imm2 (No. 44)
Inequivalent atoms, fractional coordinates:
La (0.000, 0.000, 0.000) x2
Si (0.000, 0.500, 0.668) x2
Br (0.000, 0.000, 0.419) x2
Br (0.000, 0.500, 0.151) x2

Values from the calculation:
distance to the lowest polymorph of the same formula: 202 meV per atom


## La2SiBr (PBE)

Data for a relaxed La2SiBr crystal.

abc: 7.450 7.450 7.450
angles: 90.00 90.00 90.00
Space group F-43m (No. 216)
Inequivalent atoms, fractional coordinates:
La (0.000, 0.000, 0.000) x4
La (0.250, 0.250, 0.250) x4
Si (0.250, 0.250, 0.750) x4
Br (0.000, 0.000, 0.500) x4

Values from the calculation:
distance to the lowest polymorph of the same formula: 953 meV per atom


## La4SiBr5 (PBE)

Data for a relaxed La4SiBr5 crystal.

abc: 19.108 4.287 8.851
angles: 90.00 103.84 90.00
Space group C2/m (No. 12)
Inequivalent atoms, fractional coordinates:
La (0.001, 0.000, 0.227) x4
La (0.154, 0.500, 0.084) x4
Si (0.000, 0.500, 0.000) x2
Br (0.000, 0.500, 0.500) x2
Br (0.167, 0.000, 0.333) x4
Br (0.170, 0.000, 0.840) x4


## La7SiBr12 (PBE)

Data for a relaxed La7SiBr12 crystal.

abc: 15.5466 15.5466 10.5513
angles: 90.00 90.00 120.00
Space group R-3 (No. 148, hexagonal axes)
Inequivalent atoms, fractional coordinates:
La (0.0000, 0.0000, 0.0000) x3
La (0.0451, 0.8757, 0.3448) x18
Si (0.0000, 0.0000, 0.5000) x3
Br (0.0241, 0.4377, 0.1638) x18
Br (0.0474, 0.8696, 0.8388) x18


no.,formation energy (no corrections) (eV per atom)
1,-1.3418
2,-0.1755
3,-0.7076
4,-0.1976
5,-1.5986
6,-1.7464